# Sc2CdTc

An optimized crystal structure of Sc2CdTc (PBE, OQMD via LeMat-Bulk).

Cell: 4.7546 6.7245 14.2440 Å, 90.00 90.00 90.00°
Fractional positions:
Sc (0.0000, 0.2501, 0.0000)
Sc (0.0000, 0.2502, 0.3333)
Sc (0.0000, 0.2502, 0.6667)
Sc (0.0000, 0.7499, 0.0000)
Sc (0.0000, 0.7498, 0.3333)
Sc (0.0000, 0.7498, 0.6667)
Sc (0.5000, 0.2497, 0.1668)
Sc (0.5000, 0.2496, 0.5000)
Sc (0.5000, 0.2497, 0.8332)
Sc (0.5000, 0.7503, 0.1668)
Sc (0.5000, 0.7504, 0.5000)
Sc (0.5000, 0.7503, 0.8332)
Cd (0.0000, 0.0000, 0.1667)
Cd (0.0000, 0.0000, 0.5000)
Cd (0.0000, 0.0000, 0.8333)
Cd (0.5000, 0.5000, 0.0000)
Cd (0.5000, 0.5000, 0.3333)
Cd (0.5000, 0.5000, 0.6667)
Tc (0.0000, 0.5000, 0.1667)
Tc (0.0000, 0.5000, 0.5000)
Tc (0.0000, 0.5000, 0.8333)
Tc (0.5000, 0.0000, 0.0000)
Tc (0.5000, 0.0000, 0.3324)
Tc (0.5000, 0.0000, 0.6676)

Computed properties:
* volume: 18.98 Å³/atom
* DFT formation energy: -218 meV/atom

=====

# Er2Au

An optimized crystal structure of Er2Au (PBE, OQMD via LeMat-Bulk).

Cell: 5.9895 5.9895 5.9895 Å, 60.00 60.00 60.00°
Fractional positions:
Er (0.0000, 0.0000, 0.0000)
Er (0.0000, 0.0000, 0.5000)
Er (0.0000, 0.5000, 0.0000)
Er (0.5000, 0.0000, 0.0000)
Au (0.3750, 0.3750, 0.3750)
Au (0.6250, 0.6250, 0.6250)

Computed properties:
* volume: 25.32 Å³/atom
* DFT formation energy: 270 meV/atom